Record 1
A geometry-optimized YZn2Pt2 structure, computed with PBEsol.

Summary:
* SG: I4/mmm (139)
* final energy: -5.57 eV/atom
* size of the total moment: 0.00 μB per cell
* energy of formation from the pure elements: -0.784 eV per atom

Cell: 6.7452 6.7452 6.7452 Å, 147.51 147.51 46.61°
Closest atoms and distances in Å follow each position.
Atoms (fractional coordinates):
Y 0.0000 0.0000 0.0000  8 Pt 2.98
Zn 0.2500 0.7500 0.5000  4 Pt 2.58, 4 Zn 2.67
Zn 0.7500 0.2500 0.5000  4 Pt 2.58, 4 Zn 2.67
Pt 0.3921 0.3921 0.0000  4 Zn 2.58, 1 Pt 2.67
Pt 0.6079 0.6079 0.0000  4 Zn 2.58, 1 Pt 2.67

Record 2
A geometry-optimized YZnPt3 structure, computed with PBEsol.

Summary:
* SG: Pm-3m (221)
* final energy: -4.73 eV/atom
* size of the total moment: 0.00 μB per cell
* energy of formation from the pure elements: 1.127 eV per atom

Cell: 4.9744 4.9744 4.9744 Å, 90.00 90.00 90.00°
Closest atoms and distances in Å follow each position.
Atoms (fractional coordinates):
Y 0.0000 0.0000 0.0000  6 Pt 2.49
Zn 0.5000 0.5000 0.5000  12 Pt 3.52
Pt 0.0000 0.0000 0.5000  2 Y 2.49
Pt 0.0000 0.5000 0.0000  2 Y 2.49
Pt 0.5000 0.0000 0.0000  2 Y 2.49

Record 3
A geometry-optimized Y2ZnPt structure, computed with PBEsol.

Summary:
* SG: Amm2 (38)
* final energy: -6.35 eV/atom
* size of the total moment: 0.00 μB per cell
* energy of formation from the pure elements: -0.802 eV per atom

Cell: 4.4108 5.6075 5.6075 Å, 39.10 90.00 90.00°
Closest atoms and distances in Å follow each position.
Atoms (fractional coordinates):
Y 0.0000 0.0000 0.0000  3 Zn 2.96-3.00, 4 Pt 2.98
Y 0.5000 0.2812 0.2812  3 Pt 2.94-3.02, 4 Zn 2.98
Zn 0.0000 0.7163 0.7163  2 Pt 2.71, 7 Y 2.96-3.00
Pt 0.5000 0.5672 0.5672  2 Zn 2.71, 7 Y 2.94-3.02

Record 4
A geometry-optimized YZn2Pt structure, computed with PBEsol.

Summary:
* SG: Pm (6)
* final energy: -4.74 eV/atom
* size of the total moment: 0.00 μB per cell
* energy of formation from the pure elements: -0.500 eV per atom

Cell: 3.5015 4.0130 5.5872 Å, 90.00 107.94 90.00°
Closest atoms and distances in Å follow each position.
Atoms (fractional coordinates):
Y 0.0000 0.0000 0.0000  3 Zn 2.80-3.07, 4 Pt 2.83
Zn 0.2684 0.0000 0.5262  2 Pt 2.54, 4 Zn 2.77-2.80, 1 Y 2.80
Zn 0.6845 0.5000 0.3706  4 Zn 2.77-2.80, 3 Pt 2.93-2.97
Pt 0.4113 0.5000 0.8186  2 Zn 2.54, 4 Y 2.83

Record 5
A geometry-optimized Y2ZnPt2 structure, computed with PBEsol.

Summary:
* SG: P4/mbm (127)
* final energy: -6.79 eV/atom
* size of the total moment: 0.00 μB per cell
* energy of formation from the pure elements: -0.955 eV per atom

Cell: 7.3802 7.3802 3.7605 Å, 90.00 90.00 90.00°
Closest atoms and distances in Å follow each position.
Atoms (fractional coordinates):
Y 0.1694 0.3306 0.0000  6 Pt 2.78-2.94
Y 0.3306 0.8306 0.0000  6 Pt 2.78-2.94
Y 0.6694 0.1694 0.0000  6 Pt 2.78-2.94
Y 0.8306 0.6694 0.0000  6 Pt 2.78-2.94
Zn 0.0000 0.0000 0.5000  4 Pt 2.87
Zn 0.5000 0.5000 0.5000  4 Pt 2.87
Pt 0.1349 0.6349 0.5000  6 Y 2.78-2.94, 1 Pt 2.82, 2 Zn 2.87
Pt 0.3651 0.1349 0.5000  6 Y 2.78-2.94, 1 Pt 2.82, 2 Zn 2.87
Pt 0.6349 0.8651 0.5000  6 Y 2.78-2.94, 1 Pt 2.82, 2 Zn 2.87
Pt 0.8651 0.3651 0.5000  6 Y 2.78-2.94, 1 Pt 2.82, 2 Zn 2.87

Record 6
A geometry-optimized YZn4Pt structure, computed with PBEsol.

Summary:
* SG: F-43m (216)
* final energy: -3.77 eV/atom
* size of the total moment: 0.00 μB per cell
* energy of formation from the pure elements: -0.419 eV per atom

Cell: 5.0977 5.0977 5.0977 Å, 60.00 60.00 60.00°
Closest atoms and distances in Å follow each position.
Atoms (fractional coordinates):
Y 0.0000 0.0000 0.0000  12 Zn 2.99, 4 Pt 3.12
Zn 0.3758 0.3758 0.3758  6 Zn 2.53-2.57
Zn 0.3758 0.3758 0.8726  6 Zn 2.53-2.57
Zn 0.3758 0.8726 0.3758  6 Zn 2.53-2.57
Zn 0.8726 0.3758 0.3758  6 Zn 2.53-2.57
Pt 0.7500 0.7500 0.7500  12 Zn 2.99, 4 Y 3.12

no.,calculated density (g cm⁻³)
1,11.5
2,10.0
3,8.3
4,9.2
5,10.3
6,9.7